# 1
# Na2Cu4SnSb3 PBE-GGA relaxed
data_Na2Cu4SnSb3
_cell_length_a 4.436
_cell_length_b 4.436
_cell_length_c 11.111
_cell_angle_alpha 90.00
_cell_angle_beta 90.00
_cell_angle_gamma 90.00
_space_group_name_H-M_alt 'P -4 m 2'
_space_group_IT_number 115
loop_
_space_group_symop_operation_xyz
'x,y,z'
'y,-x,-z'
'-x,-y,z'
'-y,x,-z'
'-x,y,z'
'-y,-x,-z'
'x,-y,z'
'y,x,-z'
loop_
_atom_site_label
_atom_site_fract_x
_atom_site_fract_y
_atom_site_fract_z
Na1 0.000 0.500 0.232
Cu1 0.000 0.000 0.000
Cu2 0.000 0.500 0.640
Cu3 0.500 0.500 0.000
Sn1 0.000 0.000 0.500
Sb1 0.000 0.500 0.869
Sb2 0.500 0.500 0.500
# DOS(E_F) (states/eV per cell): 3.78
# Density (g/cm³): 5.956
# Formation energy (no corrections) (meV per atom): -101
# E_tot (eV/atom): -3.6403


# 2
# MgBe2C PBE-GGA relaxed
data_MgBe2C
_cell_length_a 3.0334
_cell_length_b 3.0334
_cell_length_c 16.2997
_cell_angle_alpha 90.00
_cell_angle_beta 90.00
_cell_angle_gamma 120.00
_space_group_name_H-M_alt 'R 3 m'
_space_group_IT_number 160
_space_group_name_Hall 'R 3 -2"'
loop_
_atom_site_label
_atom_site_fract_x
_atom_site_fract_y
_atom_site_fract_z
Mg1 0.0000 0.0000 0.0000
Be1 0.0000 0.0000 0.2066
Be2 0.0000 0.0000 0.4742
C1 0.0000 0.0000 0.8447
# Density (g/cm³): 2.084
# E_tot (eV/atom): -4.4797
# Polymorph energy (0 for the lowest one) (meV per atom): 135
# Energy of formation from the pure elements (eV per formula unit): 0.35


# 3
# PmYErS3 PBE-GGA relaxed
data_PmYErS3
_cell_length_a 6.823
_cell_length_b 3.861
_cell_length_c 10.267
_cell_angle_alpha 90.00
_cell_angle_beta 102.61
_cell_angle_gamma 90.00
_space_group_name_H-M_alt 'P 1 21/m 1'
_space_group_IT_number 11
loop_
_space_group_symop_operation_xyz
'x,y,z'
'-x,-y,-z'
'-x,y+1/2,-z'
'x,-y+1/2,z'
loop_
_atom_site_label
_atom_site_fract_x
_atom_site_fract_y
_atom_site_fract_z
Pm1 0.158 0.250 0.196
Y1 0.373 0.250 0.869
Er1 0.266 0.750 0.556
S1 0.046 0.250 0.660
S2 0.221 0.750 0.002
S3 0.448 0.750 0.346
# DOS(E_F) (states/eV per cell): 6.95
# Density (g/cm³): 6.259
# Formation energy (no corrections) (meV per atom): -1920
# E_tot (eV/atom): -6.6131